Density functional theory data (PBEsol) for crystalline TiZn2CoIr at its relaxed geometry.

Properties
Size of the total moment (μB per cell): 0.0
DOS at the Fermi energy (states/eV/atom): 0.90
ΔE_f (eV/atom): 1.403
Space-group type: P4/mmm, No. 123
Energy (Ry/atom): -0.3239

Lattice parameters (Å, degrees): 3.8940 4.5666 4.5666 90.00 90.00 90.00
Fractional coordinates of all 5 atoms:
Ti 0.0000 0.0000 0.0000
Co 0.5000 0.0000 0.0000
Zn 0.0000 0.5000 0.0000
Zn 0.0000 0.0000 0.5000
Ir 0.5000 0.5000 0.5000